# Zr2SbI

A crystal of Zr2SbI relaxed with PBEsol (SCAN, Alexandria).

Calculated values
formation energy from raw total energies	121	meV per atom
D(E_F)	3.37	states/eV/f.u.

Unit cell a=7.6470 b=7.6470 c=7.0637 alpha=90.00 beta=90.00 gamma=90.00
Last column: nearest neighbours and their distance in Å.
Fractional positions:
Zr1 0.2431 0.2500 0.1250  2 I 2.81, 2 Sb 2.88
Zr2 0.2500 0.7431 0.3750  2 I 2.81, 2 Sb 2.88
Zr3 0.2500 0.7569 0.8750  2 I 2.81, 2 Sb 2.88
Zr4 0.2569 0.2500 0.6250  2 I 2.81, 2 Sb 2.88
Zr5 0.7431 0.7500 0.6250  2 I 2.81, 2 Sb 2.88
Zr6 0.7500 0.2431 0.8750  2 I 2.81, 2 Sb 2.88
Zr7 0.7500 0.2569 0.3750  2 I 2.81, 2 Sb 2.88
Zr8 0.7569 0.7500 0.1250  2 I 2.81, 2 Sb 2.88
Sb1 0.0000 0.0000 0.5000  4 Zr 2.88
Sb2 0.0000 0.5000 0.7500  4 Zr 2.88
Sb3 0.5000 0.0000 0.2500  4 Zr 2.88
Sb4 0.5000 0.5000 0.0000  4 Zr 2.88
I1 0.0000 0.0000 0.0000  4 Zr 2.81
I2 0.0000 0.5000 0.2500  4 Zr 2.81
I3 0.5000 0.0000 0.7500  4 Zr 2.81
I4 0.5000 0.5000 0.5000  4 Zr 2.81